Material: YMnGaO5
Method: DFT, PBE+U
State: relaxed

a = 5.7549 Å, b = 7.3724 Å, c = 8.5629 Å
α = 90.00°, β = 90.00°, γ = 90.00°
Last column: nearest neighbours and their distance in Å.
Fractional coordinates of all 32 atoms:
Y: 0.5000 0.3661 0.3312  8 O 2.35-2.49
Y: 0.5000 0.6339 0.6688  8 O 2.35-2.49
Y: 0.5000 0.1339 0.8312  8 O 2.35-2.49
Y: 0.5000 0.8661 0.1688  8 O 2.35-2.49
Mn: 0.2485 0.0000 0.5000  6 O 1.91-1.94
Mn: 0.7515 0.0000 0.5000  6 O 1.91-1.94
Mn: 0.7515 0.5000 0.0000  6 O 1.91-1.94
Mn: 0.2485 0.5000 0.0000  6 O 1.91-1.94
Ga: 0.0000 0.1086 0.1460  5 O 1.89-1.98
Ga: 0.0000 0.8914 0.8540  5 O 1.89-1.98
Ga: 0.0000 0.3914 0.6460  5 O 1.89-1.98
Ga: 0.0000 0.6086 0.3540  5 O 1.89-1.98
O: 0.5000 0.3390 0.0572  2 Mn 1.93
O: 0.5000 0.6610 0.9428  2 Mn 1.93
O: 0.5000 0.1610 0.5572  2 Mn 1.93
O: 0.5000 0.8390 0.4428  2 Mn 1.93
O: 0.2288 0.0000 0.0000  2 Ga 1.98
O: 0.7712 0.0000 0.0000  2 Ga 1.98
O: 0.7712 0.5000 0.5000  2 Ga 1.98
O: 0.2288 0.5000 0.5000  2 Ga 1.98
O: 0.2581 0.1060 0.2934  1 Mn 1.94, 1 Ga 1.95
O: 0.7419 0.8940 0.7066  1 Mn 1.94, 1 Ga 1.95
O: 0.2581 0.8940 0.7066  1 Mn 1.94, 1 Ga 1.95
O: 0.7419 0.3940 0.7934  1 Mn 1.94, 1 Ga 1.95
O: 0.7419 0.1060 0.2934  1 Mn 1.94, 1 Ga 1.95
O: 0.2581 0.6060 0.2066  1 Mn 1.94, 1 Ga 1.95
O: 0.7419 0.6060 0.2066  1 Mn 1.94, 1 Ga 1.95
O: 0.2581 0.3940 0.7934  1 Mn 1.94, 1 Ga 1.95
O: 0.0000 0.3493 0.0707  1 Ga 1.89, 2 Mn 1.91
O: 0.0000 0.6507 0.9293  1 Ga 1.89, 2 Mn 1.91
O: 0.0000 0.1507 0.5707  1 Ga 1.89, 2 Mn 1.91
O: 0.0000 0.8493 0.4293  1 Ga 1.89, 2 Mn 1.91

As for the space-group type: Pbam. The calculation puts the spin magnetization at 2.97 μB per formula unit. The calculation puts the total energy at -59.88 eV/f.u.